one) # LiFeNiO4

A relaxed LiFeNiO4 crystal (PBE with a Hubbard U, Alexandria via LeMat-Bulk).

Summary:
The space-group type is Imma, No. 74.

Cell: 5.9262 5.9262 5.9262 Å, 120.58 120.99 88.64°
Last column: magnetic moment on the atom in μB.
Atoms (fractional coordinates):
1 Fe 0.0000 0.0000 0.0000  3.59
2 O 0.2499 0.2177 0.4678  -0.07
3 O 0.7501 0.2179 0.9678  -0.07
4 Li 0.5000 0.5000 0.5000  0.01
5 O 0.2124 0.2226 0.9899  -0.06
6 Li 0.5000 0.0000 0.0000  0.01
7 O 0.2673 0.7774 0.4899  -0.06
8 O 0.7876 0.7774 0.0101  -0.06
9 Ni 0.0000 0.5000 0.0000  1.68
10 O 0.7501 0.7823 0.5322  -0.07
11 O 0.2499 0.7821 0.0322  -0.07
12 Ni 0.0000 0.0000 0.5000  1.68
13 O 0.7327 0.2226 0.5101  -0.06
14 Fe 0.5000 0.0000 0.5000  3.59

---

two) # LiFeNiO4

A relaxed LiFeNiO4 crystal (PBE with a Hubbard U, Alexandria via LeMat-Bulk).

Summary:
The space-group type is Imma, No. 74.

Cell: 5.8685 5.8685 5.8685 Å, 122.18 122.16 86.28°
Last column: magnetic moment on the atom in μB.
Atoms (fractional coordinates):
1 O 0.7469 0.7227 0.4757  -0.06
2 O 0.2531 0.7288 0.9757  -0.06
3 Li 0.8859 0.1359 0.7500  0.00
4 O 0.2531 0.2773 0.5243  -0.06
5 O 0.7477 0.2737 0.4740  -0.18
6 O 0.2523 0.7263 0.5260  -0.18
7 Ni 0.5000 0.0000 0.0000  1.14
8 O 0.2997 0.2737 0.0260  -0.18
9 O 0.7003 0.7263 0.9740  -0.18
10 Ni 0.5000 0.5000 0.5000  1.14
11 Fe 0.0000 0.5000 0.5000  2.40
12 Li 0.1141 0.8641 0.2500  0.00
13 Fe 0.5000 0.5000 0.0000  2.40
14 O 0.7469 0.2712 0.0243  -0.06

---

Stability ranking, top and bottom: two) is the most stable and one) is the least stable.

---

one) # Li4Fe3NiO8

A relaxed Li4Fe3NiO8 crystal (PBE with a Hubbard U, Alexandria via LeMat-Bulk).

Summary:
The space-group type is P1, No. 1.

Cell: 5.1300 5.4398 6.4767 Å, 89.70 90.06 89.82°
Last column: magnetic moment on the atom in μB.
Atoms (fractional coordinates):
1 Fe 0.4913 0.4138 0.3699  1.10
2 Li 0.5029 0.9137 0.6225  0.01
3 Ni 0.5052 0.9139 0.1282  2.05
4 O 0.6186 0.0893 0.3576  0.20
5 O 0.1067 0.4192 0.8645  0.08
6 O 0.6288 0.0630 0.8855  0.29
7 Fe 0.0037 0.0846 0.8769  4.24
8 O 0.1380 0.9329 0.1202  0.28
9 O 0.1268 0.4414 0.3919  -0.01
10 O 0.6253 0.5545 0.6064  0.00
11 O 0.1162 0.9124 0.6371  0.13
12 Li 0.0032 0.5896 0.1263  0.01
13 Fe 0.9916 0.5876 0.6265  1.10
14 O 0.6085 0.5863 0.1358  0.15
15 Li 0.4992 0.4138 0.8743  0.01
16 Li 0.0075 0.0841 0.3765  0.01

---

two) # Li4Fe3NiO8

A relaxed Li4Fe3NiO8 crystal (PBE with a Hubbard U, Alexandria via LeMat-Bulk).

Summary:
The space-group type is R-3m, No. 166.

Cell: 5.9689 5.9689 5.9689 Å, 59.46 59.46 59.46°
Last column: magnetic moment on the atom in μB.
Atoms (fractional coordinates):
1 O 0.7550 0.2617 0.7550  0.12
2 Ni 0.0000 0.0000 0.0000  1.61
3 Li 0.5000 0.0000 0.0000  0.01
4 Li 0.5000 0.5000 0.5000  0.01
5 O 0.7550 0.7550 0.2617  0.12
6 Fe 0.0000 0.5000 0.5000  4.28
7 O 0.2450 0.7383 0.2450  0.12
8 O 0.7442 0.7442 0.7442  0.24
9 Li 0.0000 0.5000 0.0000  0.01
10 Fe 0.5000 0.5000 0.0000  4.28
11 O 0.2558 0.2558 0.2558  0.24
12 Li 0.0000 0.0000 0.5000  0.01
13 Fe 0.5000 0.0000 0.5000  4.28
14 O 0.2450 0.2450 0.7383  0.12
15 O 0.2617 0.7550 0.7550  0.12
16 O 0.7383 0.2450 0.2450  0.12

---

Stability ranking, top and bottom: two) is the most stable and one) is the least stable.

---

one) # Li2FeNiO4

A relaxed Li2FeNiO4 crystal (PBE with a Hubbard U, Alexandria via LeMat-Bulk).

Summary:
The space-group type is I-4m2, No. 119.

Cell: 4.0941 4.0941 5.1596 Å, 113.38 113.38 90.00°
Last column: magnetic moment on the atom in μB.
Atoms (fractional coordinates):
1 Li 0.5000 0.5000 0.0000  0.00
2 Ni 0.0000 0.0000 0.0000  1.52
3 O 0.5184 0.0184 0.0369  0.01
4 O 0.2319 0.2319 0.4638  0.06
5 O 0.7681 0.7681 0.5362  0.06
6 Li 0.2500 0.7500 0.5000  0.01
7 O 0.9816 0.4816 0.9631  0.01
8 Fe 0.7500 0.2500 0.5000  4.29

---

two) # Li2FeNiO4

A relaxed Li2FeNiO4 crystal (PBE with a Hubbard U, Alexandria via LeMat-Bulk).

Summary:
The space-group type is P2/m, No. 10.

Cell: 2.9222 5.0694 5.0671 Å, 70.81 90.00 90.00°
Last column: magnetic moment on the atom in μB.
Atoms (fractional coordinates):
1 O 0.5000 0.7749 0.2659  0.04
2 Li 0.0000 0.5000 0.5000  0.02
3 Ni 0.0000 0.0000 0.0000  1.74
4 O 0.0000 0.2260 0.2757  -0.10
5 Li 0.5000 0.5000 0.0000  -0.01
6 O 0.5000 0.2251 0.7341  0.04
7 Fe 0.5000 0.0000 0.5000  2.39
8 O 0.0000 0.7740 0.7243  -0.10

---

Stability ranking, top and bottom: one) is the most stable and two) is the least stable.

---

one) # Li5FeO4

A relaxed Li5FeO4 crystal (PBE with a Hubbard U, Alexandria via LeMat-Bulk).

Summary:
The space-group type is P2_1/c, No. 14.

Cell: 6.7678 5.5683 11.3372 Å, 72.16 90.00 90.00°
Last column: magnetic moment on the atom in μB.
Atoms (fractional coordinates):
1 O 0.0220 0.7469 0.3833  0.16
2 O 0.2736 0.2435 0.8565  0.13
3 Fe 0.7577 0.1116 0.0649  4.20
4 Li 0.4645 0.3650 0.4249  0.00
5 Li 0.9633 0.1048 0.3049  0.00
6 O 0.7264 0.7565 0.1435  0.13
7 Li 0.5228 0.6326 0.0600  0.00
8 Li 0.9772 0.6326 0.5600  0.00
9 O 0.7447 0.2740 0.8901  0.15
10 Li 0.2513 0.3215 0.1675  0.01
11 Li 0.2487 0.3215 0.6675  0.01
12 O 0.7553 0.2740 0.3901  0.15
13 Li 0.7029 0.3783 0.2184  0.01
14 Li 0.2029 0.6217 0.2816  0.01
15 Li 0.0355 0.3650 0.9249  0.00
16 Li 0.2971 0.6217 0.7816  0.01
17 O 0.9780 0.2531 0.6167  0.16
18 Li 0.7971 0.3783 0.7184  0.01
19 O 0.5360 0.2704 0.6253  0.17
20 Fe 0.2423 0.8884 0.9351  4.20
21 Li 0.0228 0.3674 0.4400  0.00
22 O 0.2447 0.7260 0.6099  0.15
23 Li 0.7513 0.6785 0.3325  0.01
24 O 0.7736 0.7565 0.6435  0.13
25 O 0.5220 0.2531 0.1167  0.16
26 O 0.0360 0.7296 0.8747  0.17
27 O 0.2264 0.2435 0.3565  0.13
28 Li 0.4633 0.8952 0.1951  0.00
29 O 0.9640 0.2704 0.1253  0.17
30 O 0.2553 0.7260 0.1099  0.15
31 Li 0.5355 0.6350 0.5751  0.00
32 Fe 0.2577 0.8884 0.4351  4.20
33 Li 0.0367 0.8952 0.6951  0.00
34 Li 0.4772 0.3674 0.9400  0.00
35 Li 0.5367 0.1048 0.8049  0.00
36 O 0.4780 0.7469 0.8833  0.16
37 O 0.4640 0.7296 0.3747  0.17
38 Li 0.9645 0.6350 0.0751  0.00
39 Fe 0.7423 0.1116 0.5649  4.20
40 Li 0.7487 0.6785 0.8325  0.01

---

two) # Li5FeO4

A relaxed Li5FeO4 crystal (PBE with a Hubbard U, Alexandria via LeMat-Bulk).

Summary:
The space-group type is P1, No. 1.

Cell: 5.5987 6.8035 11.0255 Å, 89.52 77.09 89.57°
Last column: magnetic moment on the atom in μB.
Atoms (fractional coordinates):
1 Li 0.5167 0.7517 0.1759  0.01
2 Li 0.4927 0.2454 0.8327  0.01
3 Li 0.9816 0.2552 0.3452  0.01
4 O 0.3063 0.2511 0.3920  0.17
5 Li 0.0855 0.4696 0.8067  0.00
6 O 0.1457 0.7526 0.1151  0.14
7 Li 0.0121 0.7432 0.6523  0.01
8 O 0.1207 0.0221 0.6143  0.16
9 O 0.6266 0.4738 0.1129  0.16
10 O 0.8361 0.2694 0.8767  0.16
11 O 0.3782 0.5318 0.8753  0.15
12 O 0.1598 0.4740 0.6285  0.16
13 Fe 0.3299 0.2424 0.5570  4.17
14 O 0.9083 0.7337 0.8578  0.14
15 Li 0.2172 0.9752 0.4253  0.00
16 Fe 0.8332 0.2533 0.0482  4.18
17 Li 0.8967 0.9798 0.2018  0.00
18 Li 0.8995 0.2486 0.6951  0.01
19 O 0.5853 0.2266 0.6469  0.12
20 O 0.0936 0.2505 0.1348  0.14
21 Li 0.1887 0.5223 0.4393  0.00
22 Li 0.6163 0.7535 0.7906  0.01
23 Li 0.8900 0.5275 0.1976  0.00
24 O 0.6460 0.7652 0.6157  0.11
25 Li 0.7344 0.9786 0.9176  0.00
26 Fe 0.6766 0.7384 0.4352  4.23
27 Li 0.3047 0.4711 0.0694  0.00
28 O 0.4011 0.7452 0.3608  0.15
29 Li 0.1137 0.7468 0.2959  0.01
30 O 0.8915 0.9626 0.3765  0.15
31 O 0.4013 0.9667 0.8803  0.16
32 Fe 0.1757 0.7602 0.9374  4.21
33 O 0.6411 0.0276 0.1087  0.17
34 Li 0.4923 0.5167 0.6658  0.00
35 Li 0.4495 0.2571 0.2281  0.01
36 Li 0.6845 0.5327 0.9350  0.00
37 O 0.8982 0.5360 0.3660  0.18
38 Li 0.3233 0.0348 0.0645  0.00
39 Li 0.3880 0.9675 0.6986  0.00
40 Li 0.8071 0.0223 0.5573  0.00

---

three) # Li5FeO4

A relaxed Li5FeO4 crystal (PBE with a Hubbard U, Alexandria via LeMat-Bulk).

Summary:
The space-group type is Pbca, No. 61.

Cell: 5.1467 9.8129 16.3268 Å, 90.00 90.00 90.00°
Last column: magnetic moment on the atom in μB.
Atoms (fractional coordinates):
1 O 0.2138 0.3620 0.1254  0.14
2 Li 0.8690 0.1888 0.3298  0.01
3 Li 0.0893 0.6840 0.3221  0.01
4 Li 0.5027 0.0446 0.2261  0.00
5 Li 0.1061 0.2985 0.5203  0.01
6 O 0.7278 0.3637 0.9803  0.15
7 Li 0.3939 0.7985 0.4797  0.01
8 Li 0.3690 0.8112 0.1702  0.01
9 O 0.2013 0.9789 0.1528  0.15
10 O 0.2987 0.9789 0.6528  0.15
11 Li 0.6061 0.2015 0.5203  0.01
12 Li 0.6310 0.6888 0.6702  0.01
13 O 0.2013 0.4789 0.3472  0.15
14 O 0.7987 0.5211 0.6528  0.15
15 Li 0.8690 0.6888 0.1702  0.01
16 Li 0.4973 0.4554 0.7261  0.00
17 O 0.7278 0.8637 0.5197  0.15
18 Li 0.3979 0.0597 0.0703  0.01
19 O 0.7722 0.8637 0.0197  0.15
20 O 0.2722 0.6363 0.0197  0.15
21 O 0.7013 0.5211 0.1528  0.15
22 Li 0.6021 0.9403 0.9297  0.01
23 Fe 0.6441 0.9542 0.6174  4.20
24 Li 0.6061 0.7015 0.9797  0.01
25 Fe 0.8559 0.9542 0.1174  4.20
26 O 0.2119 0.6457 0.2078  0.15
27 Li 0.0027 0.4554 0.2261  0.00
28 O 0.7013 0.0211 0.3472  0.15
29 Li 0.5893 0.8160 0.3221  0.01
30 Li 0.9973 0.5446 0.7739  0.00
31 Li 0.0893 0.1840 0.1779  0.01
32 O 0.7881 0.3543 0.7922  0.15
33 O 0.2881 0.6457 0.7078  0.15
34 Li 0.1310 0.3112 0.8298  0.01
35 O 0.2119 0.1457 0.2922  0.15
36 Li 0.1021 0.0597 0.5703  0.01
37 O 0.2278 0.6363 0.5197  0.15
38 O 0.7722 0.3637 0.4803  0.15
39 Li 0.1310 0.8112 0.6702  0.01
40 Li 0.9107 0.8160 0.8221  0.01
41 Fe 0.8559 0.4542 0.3826  4.20
42 Li 0.4973 0.9554 0.7739  0.00
43 Li 0.5027 0.5446 0.2739  0.00
44 Li 0.9107 0.3160 0.6779  0.01
45 O 0.7881 0.8543 0.7078  0.15
46 Li 0.3939 0.2985 0.0203  0.01
47 Fe 0.3559 0.5458 0.1174  4.20
48 Fe 0.1441 0.5458 0.6174  4.20
49 Li 0.4107 0.1840 0.6779  0.01
50 Li 0.8939 0.7015 0.4797  0.01
51 Li 0.8979 0.4403 0.0703  0.01
52 O 0.7138 0.6380 0.3746  0.14
53 O 0.7862 0.1380 0.6254  0.14
54 O 0.7119 0.3543 0.2922  0.15
55 O 0.7119 0.8543 0.2078  0.15
56 Li 0.3979 0.5597 0.4297  0.01
57 Fe 0.1441 0.0458 0.8826  4.20
58 Li 0.6310 0.1888 0.8298  0.01
59 O 0.2278 0.1363 0.9803  0.15
60 O 0.2987 0.4789 0.8472  0.15
61 Li 0.3690 0.3112 0.3298  0.01
62 Fe 0.6441 0.4542 0.8826  4.20
63 Li 0.8979 0.9403 0.4297  0.01
64 Li 0.0027 0.9554 0.2739  0.00
65 Li 0.5893 0.3160 0.1779  0.01
66 O 0.7862 0.6380 0.8746  0.14
67 O 0.2862 0.8620 0.8746  0.14
68 Li 0.1021 0.5597 0.9297  0.01
69 Li 0.6021 0.4403 0.5703  0.01
70 O 0.7987 0.0211 0.8472  0.15
71 Li 0.4107 0.6840 0.8221  0.01
72 O 0.2138 0.8620 0.3746  0.14
73 Fe 0.3559 0.0458 0.3826  4.20
74 Li 0.1061 0.7985 0.9797  0.01
75 O 0.2881 0.1457 0.7922  0.15
76 Li 0.9973 0.0446 0.7261  0.00
77 O 0.2862 0.3620 0.6254  0.14
78 Li 0.8939 0.2015 0.0203  0.01
79 O 0.2722 0.1363 0.4803  0.15
80 O 0.7138 0.1380 0.1254  0.14

---

four) # Li5FeO4

A relaxed Li5FeO4 crystal (PBE with a Hubbard U, Alexandria via LeMat-Bulk).

Summary:
The space-group type is Pbca, No. 61.

Cell: 9.2548 9.2976 9.3060 Å, 90.00 90.00 90.00°
Last column: magnetic moment on the atom in μB.
Atoms (fractional coordinates):
1 Fe 0.6181 0.8542 0.6163  4.20
2 O 0.0009 0.0324 0.7566  0.17
3 Li 0.8932 0.6275 0.3530  0.00
4 Fe 0.1181 0.6458 0.6163  4.20
5 O 0.2458 0.5059 0.5341  0.15
6 Li 0.1247 0.3535 0.1203  0.01
7 Li 0.6424 0.3888 0.6071  0.00
8 O 0.5167 0.2510 0.4958  0.14
9 O 0.7590 0.7520 0.2460  0.15
10 Fe 0.1181 0.1458 0.8837  4.20
11 Li 0.8965 0.3821 0.8438  0.01
12 O 0.2542 0.0059 0.4659  0.15
13 O 0.4833 0.7490 0.5042  0.14
14 Li 0.8378 0.6098 0.6186  0.00
15 Li 0.1424 0.1112 0.6071  0.00
16 Li 0.8753 0.1465 0.6203  0.01
17 O 0.4833 0.2490 0.9958  0.14
18 O 0.2590 0.2480 0.2540  0.15
19 Li 0.3378 0.8902 0.6186  0.00
20 O 0.9991 0.9676 0.2434  0.17
21 Li 0.3576 0.6112 0.3929  0.00
22 O 0.9833 0.2510 0.9958  0.14
23 Li 0.1247 0.8535 0.3797  0.01
24 Li 0.8378 0.1098 0.8814  0.00
25 Li 0.6035 0.3821 0.3438  0.01
26 Li 0.3378 0.3902 0.8814  0.00
27 Li 0.8576 0.3888 0.1071  0.00
28 O 0.0167 0.2490 0.4958  0.14
29 Li 0.1622 0.3902 0.3814  0.00
30 Fe 0.8819 0.8542 0.1163  4.20
31 Fe 0.3819 0.6458 0.1163  4.20
32 Li 0.3932 0.8725 0.3530  0.00
33 Li 0.1068 0.3725 0.6470  0.00
34 Li 0.6247 0.6465 0.3797  0.01
35 Li 0.6035 0.8821 0.1562  0.01
36 Fe 0.3819 0.1458 0.3837  4.20
37 Li 0.6247 0.1465 0.1203  0.01
38 O 0.5167 0.7510 0.0042  0.14
39 O 0.2542 0.5059 0.0341  0.15
40 O 0.2458 0.0059 0.9659  0.15
41 Li 0.1622 0.8902 0.1186  0.00
42 O 0.0009 0.5324 0.7434  0.17
43 O 0.7410 0.7520 0.7460  0.15
44 O 0.2410 0.7480 0.7460  0.15
45 Li 0.6622 0.6098 0.1186  0.00
46 Li 0.3965 0.6179 0.6562  0.01
47 Fe 0.8819 0.3542 0.3837  4.20
48 Li 0.1035 0.6179 0.1562  0.01
49 Li 0.6622 0.1098 0.3814  0.00
50 Li 0.8932 0.1275 0.1470  0.00
51 Li 0.3932 0.3725 0.1470  0.00
52 O 0.7542 0.9941 0.0341  0.15
53 O 0.7458 0.4941 0.9659  0.15
54 O 0.9991 0.4676 0.2566  0.17
55 Li 0.1068 0.8725 0.8530  0.00
56 Fe 0.6181 0.3542 0.8837  4.20
57 O 0.7458 0.9941 0.5341  0.15
58 Li 0.1035 0.1179 0.3438  0.01
59 Li 0.3576 0.1112 0.1071  0.00
60 O 0.4991 0.0324 0.2566  0.17
61 Li 0.8576 0.8888 0.3929  0.00
62 O 0.9833 0.7510 0.5042  0.14
63 Li 0.6068 0.6275 0.8530  0.00
64 Li 0.6068 0.1275 0.6470  0.00
65 Li 0.3965 0.1179 0.8438  0.01
66 Li 0.8753 0.6465 0.8797  0.01
67 Li 0.6424 0.8888 0.8929  0.00
68 O 0.5009 0.9676 0.7434  0.17
69 O 0.2590 0.7480 0.2460  0.15
70 O 0.7542 0.4941 0.4659  0.15
71 Li 0.1424 0.6112 0.8929  0.00
72 O 0.4991 0.5324 0.2434  0.17
73 O 0.5009 0.4676 0.7566  0.17
74 Li 0.3753 0.8535 0.8797  0.01
75 O 0.0167 0.7490 0.0042  0.14
76 Li 0.8965 0.8821 0.6562  0.01
77 O 0.7590 0.2520 0.2540  0.15
78 Li 0.3753 0.3535 0.6203  0.01
79 O 0.7410 0.2520 0.7540  0.15
80 O 0.2410 0.2480 0.7540  0.15

---

Stability ranking, top and bottom: four) is the most stable and three) is the least stable.

---

one) # LiFe3O

A relaxed LiFe3O crystal (PBE with a Hubbard U, Alexandria via LeMat-Bulk).

Summary:
The space-group type is Pm-3m, No. 221.

Cell: 4.0861 4.0861 4.0861 Å, 90.00 90.00 90.00°
Last column: magnetic moment on the atom in μB.
Atoms (fractional coordinates):
1 Fe 0.5000 0.0000 0.0000  3.56
2 O 0.0000 0.0000 0.0000  0.11
3 Li 0.5000 0.5000 0.5000  -0.08
4 Fe 0.0000 0.0000 0.5000  3.47
5 Fe 0.0000 0.5000 0.0000  3.56

---

two) # LiFe3O

A relaxed LiFe3O crystal (PBE with a Hubbard U, Alexandria via LeMat-Bulk).

Summary:
The space-group type is Pm-3m, No. 221.

Cell: 4.2182 4.2182 4.2182 Å, 90.00 90.00 90.00°
Last column: magnetic moment on the atom in μB.
Atoms (fractional coordinates):
1 Fe 0.0000 0.0000 0.5000  3.11
2 Li 0.0000 0.0000 0.0000  -0.09
3 O 0.5000 0.5000 0.5000  -0.20
4 Fe 0.5000 0.0000 0.0000  3.14
5 Fe 0.0000 0.5000 0.0000  3.17

---

Stability ranking, top and bottom: one) is the most stable and two) is the least stable.